P | Entry from Alexandria via LeMat-Bulk: crystalline SrLiIr3 at its relaxed geometry (PBE).

Results
volume	25.77	Å³/atom

Lattice parameters (Å, degrees): 5.051 5.051 5.051 90.00 90.00 90.00
Site moments in Bohr magnetons follow the coordinates.
Fractional positions:
Ir (0.000, 0.500, 0.000)  0.78
Ir (0.500, 0.000, 0.000)  0.62
Ir (0.000, 0.000, 0.500)  0.66
Li (0.500, 0.500, 0.500)  -0.01
Sr (0.000, 0.000, 0.000)  -0.03

Q | Entry from Alexandria via LeMat-Bulk: crystalline SrLiIr3 at its relaxed geometry (PBE).

Results
volume	17.04	Å³/atom

Lattice parameters (Å, degrees): 4.400 4.400 4.400 90.00 90.00 90.00
Fractional positions:
Ir (0.500, 0.000, 0.000)
Ir (0.000, 0.000, 0.500)
Ir (0.000, 0.500, 0.000)
Sr (0.500, 0.500, 0.500)
Li (0.000, 0.000, 0.000)

Q has the most favorable energy; the next structure is 1768 meV per atom above.

P | Entry from Alexandria via LeMat-Bulk: crystalline SrLi2Ir at its relaxed geometry (PBE).

Results
volume	20.62	Å³/atom

Lattice parameters (Å, degrees): 4.886 4.886 4.886 60.00 60.00 60.00
Fractional positions:
Ir (0.500, 0.500, 0.500)
Sr (0.750, 0.750, 0.750)
Li (0.000, 0.000, 0.000)
Li (0.250, 0.250, 0.250)

Q | Entry from Alexandria via LeMat-Bulk: crystalline SrLi2Ir at its relaxed geometry (PBE).

Results
volume	19.11	Å³/atom

Lattice parameters (Å, degrees): 3.501 3.501 6.238 90.00 90.00 90.03
Fractional positions:
Sr (0.500, 0.500, 0.250)
Li (0.000, 0.000, 0.921)
Li (0.000, 0.000, 0.579)
Ir (0.500, 0.500, 0.750)

P has the most favorable energy; the next structure is 60 meV per atom above.

P | Entry from Alexandria via LeMat-Bulk: crystalline Sr2LiIr2 at its relaxed geometry (PBE).

Results
volume	23.22	Å³/atom

Lattice parameters (Å, degrees): 5.958 5.394 8.843 99.56 90.00 123.53
Fractional positions:
Ir (0.003, 0.259, 0.009)
Ir (0.257, 0.259, 0.509)
Ir (0.743, 0.741, 0.491)
Ir (0.997, 0.741, 0.991)
Sr (0.477, 0.693, 0.848)
Sr (0.523, 0.307, 0.152)
Sr (0.216, 0.693, 0.348)
Sr (0.784, 0.307, 0.652)
Li (0.092, 0.000, 0.750)
Li (0.908, 0.000, 0.250)

Q | Entry from Alexandria via LeMat-Bulk: crystalline Sr2LiIr2 at its relaxed geometry (PBE).

Results
volume	23.36	Å³/atom

Lattice parameters (Å, degrees): 5.093 4.736 5.963 66.60 64.72 90.00
Fractional positions:
Li (0.000, 0.000, 0.000)
Sr (0.308, 0.808, 0.383)
Sr (0.692, 0.192, 0.617)
Ir (0.748, 0.500, 0.000)
Ir (0.252, 0.500, 0.000)

R | Entry from Alexandria via LeMat-Bulk: crystalline Sr2LiIr2 at its relaxed geometry (PBE).

Results
volume	24.35	Å³/atom

Lattice parameters (Å, degrees): 7.249 7.249 4.633 90.00 90.00 90.00
Site moments in Bohr magnetons follow the coordinates.
Fractional positions:
Sr (0.675, 0.825, 0.500)  -0.01
Sr (0.825, 0.325, 0.500)  -0.01
Sr (0.325, 0.175, 0.500)  -0.01
Sr (0.175, 0.675, 0.500)  -0.01
Ir (0.879, 0.621, 0.000)  0.22
Ir (0.379, 0.879, 0.000)  0.22
Ir (0.621, 0.121, 0.000)  0.22
Ir (0.121, 0.379, 0.000)  0.22
Li (0.500, 0.500, 0.000)  0.00
Li (0.000, 0.000, 0.000)  0.00

Q has the most favorable energy; the next structure is 99 meV per atom above.

P | Entry from Alexandria via LeMat-Bulk: crystalline Sr3LiIr at its relaxed geometry (PBE).

Results
volume	36.80	Å³/atom

Lattice parameters (Å, degrees): 5.942 7.082 9.636 90.00 90.00 114.80
Fractional positions:
Sr (0.947, 0.893, 0.750)
Sr (0.053, 0.107, 0.250)
Sr (0.633, 0.266, 0.949)
Sr (0.633, 0.266, 0.551)
Sr (0.367, 0.734, 0.449)
Sr (0.367, 0.734, 0.051)
Ir (0.447, 0.895, 0.750)
Ir (0.553, 0.105, 0.250)
Li (0.249, 0.497, 0.750)
Li (0.751, 0.503, 0.250)

Q | Entry from Alexandria via LeMat-Bulk: crystalline Sr3LiIr at its relaxed geometry (PBE).

Results
volume	40.77	Å³/atom

Lattice parameters (Å, degrees): 5.885 5.885 5.885 90.00 90.00 90.00
Fractional positions:
Li (0.500, 0.500, 0.500)
Ir (0.000, 0.000, 0.000)
Sr (0.000, 0.500, 0.000)
Sr (0.000, 0.000, 0.500)
Sr (0.500, 0.000, 0.000)

P has the most favorable energy; the next structure is 45 meV per atom above.

P | Entry from Alexandria via LeMat-Bulk: crystalline LiTaIr2 at its relaxed geometry (PBE).

Results
volume	16.59	Å³/atom

Lattice parameters (Å, degrees): 6.884 6.884 5.616 52.20 52.20 90.00
Fractional positions:
Li (0.500, 0.500, 0.000)
Li (0.250, 0.750, 0.500)
Ir (0.114, 0.625, 0.250)
Ir (0.875, 0.886, 0.750)
Ir (0.636, 0.125, 0.250)
Ir (0.375, 0.364, 0.750)
Ta (0.000, 0.000, 0.000)
Ta (0.750, 0.250, 0.500)

Q | Entry from Alexandria via LeMat-Bulk: crystalline LiTaIr2 at its relaxed geometry (PBE).

Results
volume	15.80	Å³/atom

Lattice parameters (Å, degrees): 2.739 2.739 9.558 90.00 90.00 118.13
Fractional positions:
Li (0.000, 0.000, 0.483)
Ta (0.500, 0.500, 0.761)
Ir (0.500, 0.500, 0.253)
Ir (0.000, 0.000, 0.003)

P has the most favorable energy; the next structure is 81 meV per atom above.

P | Entry from Alexandria via LeMat-Bulk: crystalline LiTaIr3 at its relaxed geometry (PBE).

Results
volume	14.15	Å³/atom

Lattice parameters (Å, degrees): 4.136 4.136 4.136 90.00 90.00 90.00
Fractional positions:
Ir (0.000, 0.500, 0.000)
Ir (0.500, 0.000, 0.000)
Ir (0.000, 0.000, 0.500)
Li (0.000, 0.000, 0.000)
Ta (0.500, 0.500, 0.500)

Q | Entry from Alexandria via LeMat-Bulk: crystalline LiTaIr3 at its relaxed geometry (PBE).

Results
volume	22.23	Å³/atom

Lattice parameters (Å, degrees): 4.808 4.808 4.808 90.00 90.00 90.00
Fractional positions:
Ta (0.000, 0.000, 0.000)
Ir (0.000, 0.000, 0.500)
Ir (0.000, 0.500, 0.000)
Ir (0.500, 0.000, 0.000)
Li (0.500, 0.500, 0.500)

P has the most favorable energy; the next structure is 908 meV per atom above.

P | Entry from Alexandria via LeMat-Bulk: crystalline LiTa3Ir at its relaxed geometry (PBE).

Results
volume	23.48	Å³/atom

Lattice parameters (Å, degrees): 4.897 4.897 4.897 90.00 90.00 90.00
Fractional positions:
Li (0.500, 0.500, 0.500)
Ir (0.000, 0.000, 0.000)
Ta (0.000, 0.000, 0.500)
Ta (0.500, 0.000, 0.000)
Ta (0.000, 0.500, 0.000)

Q | Entry from Alexandria via LeMat-Bulk: crystalline LiTa3Ir at its relaxed geometry (PBE).

Results
volume	16.28	Å³/atom

Lattice parameters (Å, degrees): 4.334 4.334 4.334 90.00 90.00 90.00
Fractional positions:
Ir (0.500, 0.500, 0.500)
Ta (0.000, 0.500, 0.000)
Ta (0.500, 0.000, 0.000)
Ta (0.000, 0.000, 0.500)
Li (0.000, 0.000, 0.000)

Q has the most favorable energy; the next structure is 71 meV per atom above.

P | Entry from Alexandria via LeMat-Bulk: crystalline Li2TaIr2 at its relaxed geometry (PBE).

Results
volume	13.47	Å³/atom

Lattice parameters (Å, degrees): 4.856 4.856 4.848 52.89 52.89 52.89
Fractional positions:
Ir (0.782, 0.782, 0.782)
Ir (0.218, 0.218, 0.218)
Li (0.417, 0.417, 0.417)
Li (0.583, 0.583, 0.583)
Ta (0.000, 0.000, 0.000)

Q | Entry from Alexandria via LeMat-Bulk: crystalline Li2TaIr2 at its relaxed geometry (PBE).

Results
volume	13.31	Å³/atom

Lattice parameters (Å, degrees): 6.774 6.774 2.901 90.00 90.00 90.00
Fractional positions:
Ir (0.306, 0.194, 0.500)
Ir (0.694, 0.806, 0.500)
Ir (0.806, 0.306, 0.500)
Ir (0.194, 0.694, 0.500)
Ta (0.500, 0.500, 0.000)
Ta (0.000, 0.000, 0.000)
Li (0.605, 0.105, 0.000)
Li (0.895, 0.605, 0.000)
Li (0.395, 0.895, 0.000)
Li (0.105, 0.395, 0.000)

P has the most favorable energy; the next structure is 9 meV per atom above.